Computed, not measured: Cd3BF after structural relaxation at the GGA-PBE level of DFT.

Properties
- Energy relative to the lowest polymorph listed for this composition: 0 meV per atom
- Uncorrected formation energy: -1.5 eV per formula unit
- Total moment: 0.0 μB/f.u.
- Uncorrected energy: -2.5514 eV per atom

a b c (Å): 4.556 4.556 4.556
angles (deg): 90.00 90.00 90.00
Fractional coordinates of all 5 atoms:
B 0.000 0.000 0.000
F 0.500 0.500 0.500
Cd 0.000 0.500 0.000
Cd 0.000 0.000 0.500
Cd 0.500 0.000 0.000